Below is a relaxed Er2AlH crystal, with properties calculated at the GGA-PBE level.

- Space group: R-3m
- VASP energy: -4.053 eV per atom
- Energy above the most stable polymorph in this dataset: 0.245 eV/atom
- Magnetization: 0.000 μB per formula unit

Cell: 4.928 4.928 4.928 Å, 59.89 59.89 59.89°
Fractional positions:
Er 0.250 0.250 0.250
Er 0.750 0.750 0.750
Al 0.500 0.500 0.500
H 0.000 0.000 0.000

=====

Below is a relaxed Er2AlH2 crystal, with properties calculated at the GGA-PBE level.

- Space group: I4/mmm
- VASP energy: -4.501 eV per atom
- Magnetization: 0.000 μB per formula unit

Cell: 6.770 6.770 6.770 Å, 149.53 149.53 43.64°
Fractional positions:
Er 0.147 0.147 0.000
Er 0.853 0.853 0.000
Al 0.500 0.500 0.000
H 0.250 0.750 0.500
H 0.750 0.250 0.500

=====

Below is a relaxed Er4Al2H crystal, with properties calculated at the GGA-PBE level.

- Space group: I4/mmm
- VASP energy: -4.424 eV per atom
- Magnetization: 0.000 μB per formula unit

Cell: 8.709 8.709 8.709 Å, 150.20 150.20 42.65°
Fractional positions:
Er 0.000 0.500 0.500
Er 0.178 0.178 0.000
Er 0.500 0.000 0.500
Er 0.822 0.822 0.000
Al 0.367 0.367 0.000
Al 0.633 0.633 0.000
H 0.000 0.000 0.000

=====

Question: The lowest VASP energy belongs to which entry?
Answer: Er2AlH2

=====

Question: Among the records above, which one has the lowest VASP energy?
Answer: Er2AlH2

=====

Question: Which value of VASP energy does entry 2 give?
Answer: -4.501 eV per atom

=====

Question: Look up the VASP energy of the first one.
Answer: -4.053 eV per atom